# Y2Zr4Si3C3 PBE relaxed
# M_tot ... 0.00 μB/atom
# Final energy ... -396.6 eV for the cell shown
data_Y2Zr4Si3C3
_cell_length_a 10.129
_cell_length_b 5.852
_cell_length_c 14.394
_cell_angle_alpha 90.00
_cell_angle_beta 103.59
_cell_angle_gamma 90.00
_symmetry_space_group_name_H-M 'C 1 2/c 1'
_symmetry_Int_Tables_number 15
loop_
_symmetry_equiv_pos_as_xyz
'x,y,z'
'-x,-y,-z'
'-x,y,-z+1/2'
'x,-y,z+1/2'
'x+1/2,y+1/2,z'
'-x+1/2,-y+1/2,-z'
'-x+1/2,y+1/2,-z+1/2'
'x+1/2,-y+1/2,z+1/2'
loop_
_atom_site_label
_atom_site_fract_x
_atom_site_fract_y
_atom_site_fract_z
_atom_site_occupancy
Y1 0.046 0.082 0.390 1
Zr1 0.112 0.412 0.588 1
Zr2 0.223 0.418 0.912 1
Si1 0.000 0.445 0.750 1
Si2 0.234 0.151 0.751 1
C1 0.085 0.256 0.000 1
C2 0.250 0.250 0.500 1